Record 1
A geometry-optimized Sm3Cl2 structure. Source: Alexandria, functional PBE.

The structure in POSCAR format:
```
Sm3Cl2
1.0
7.023 0.000 0.000
3.511 6.082 0.000
3.511 2.027 6.294
Sm Cl
6 4
Direct
0.091 0.750 0.750 Sm
0.250 0.591 0.250 Sm
0.591 0.909 0.250 Sm
0.909 0.250 0.250 Sm
0.750 0.409 0.750 Sm
0.409 0.091 0.750 Sm
0.335 0.335 0.996 Cl
0.165 0.165 0.504 Cl
0.835 0.835 0.496 Cl
0.665 0.665 0.004 Cl
```

Computed properties:
- Volume: 269 Å³ per cell
- Uncorrected formation energy: -100.5 kJ per mole of atoms
- Crystal system: trigonal
- Total energy: -4.612 eV/atom

Record 2
A geometry-optimized Hf2MgNb3N6 structure. Source: Alexandria, functional PBE.

The structure in POSCAR format:
```
Hf2MgNb3N6
1.0
-0.653 -2.462 -1.834
3.987 2.227 -4.409
4.223 -2.818 4.965
Mg Nb N Hf
1 3 6 2
Direct
0.500 0.000 0.000 Mg
0.840 0.178 0.680 Nb
0.500 0.500 0.000 Nb
0.160 0.822 0.320 Nb
0.335 0.919 0.671 N
0.002 0.241 0.003 N
0.330 0.426 0.661 N
0.998 0.759 0.997 N
0.670 0.574 0.339 N
0.665 0.081 0.329 N
0.162 0.324 0.323 Hf
0.838 0.676 0.677 Hf
```

Computed properties:
- Volume: 133 Å³ per cell
- Uncorrected formation energy: -123.5 kJ per mole of atoms
- Crystal system: monoclinic
- Total energy: -9.752 eV/atom